Computed, not measured: crystalline MnZn at its relaxed geometry at the PBE-GGA level of DFT.

## Properties
As for the space group: Pnma, No. 62. The total magnetization comes out at 5.8 μB/cell. The calculation puts the energy of formation from the pure elements at 79 meV per atom.

Cell: 8.626 2.854 8.520 Å, 90.00 90.00 90.00°
Fractional positions:
Mn  0.107  0.250  0.005
Mn  0.146  0.750  0.784
Mn  0.354  0.250  0.284
Mn  0.393  0.750  0.505
Mn  0.607  0.250  0.495
Mn  0.646  0.750  0.716
Mn  0.854  0.250  0.216
Mn  0.893  0.750  0.995
Zn  0.101  0.750  0.263
Zn  0.138  0.250  0.526
Zn  0.362  0.750  0.026
Zn  0.399  0.250  0.763
Zn  0.601  0.750  0.237
Zn  0.638  0.250  0.974
Zn  0.862  0.750  0.474
Zn  0.899  0.250  0.737